# 1
VASP calculation (PBE) on a relaxed structure of LiTaPd5.

```
data_LiTaPd5
_chemical_formula_sum 'Li4 Ta4 Pd20'
_cell_length_a 9.3518
_cell_length_b 5.5665
_cell_length_c 9.2852
_cell_angle_alpha 90.00
_cell_angle_beta 105.19
_cell_angle_gamma 90.00
_symmetry_space_group_name_H-M 'C 1 2/c 1'
_symmetry_Int_Tables_number 15
_symmetry_space_group_name_Hall '-C 2yc'
loop_
_atom_site_label
_atom_site_fract_x
_atom_site_fract_y
_atom_site_fract_z
_atom_site_occupancy
Li1 0.2500 0.2500 0.0000 1
Ta1 0.0000 0.1276 0.2500 1
Pd1 0.0000 0.3312 0.7500 1
Pd2 0.1015 0.3237 0.4915 1
Pd3 0.2493 0.0748 0.7383 1
```

The calculation puts the total DFT energy (no corrections) at -41.3 eV per formula unit. The energy above the most stable polymorph in this dataset is 106 meV/atom.



# 2
VASP calculation (PBE) on a relaxed structure of Li2TaPd8.

```
data_Li2TaPd8
_chemical_formula_sum 'Li4 Ta2 Pd16'
_cell_length_a 14.0075
_cell_length_b 4.0117
_cell_length_c 6.1760
_cell_angle_alpha 90.00
_cell_angle_beta 106.36
_cell_angle_gamma 90.00
_symmetry_space_group_name_H-M 'C 1 2/m 1'
_symmetry_Int_Tables_number 12
_symmetry_space_group_name_Hall '-C 2y'
loop_
_atom_site_label
_atom_site_fract_x
_atom_site_fract_y
_atom_site_fract_z
_atom_site_occupancy
Li1 0.2252 0.0000 0.1441 1
Ta1 0.0000 0.5000 0.5000 1
Pd1 0.0440 0.0000 0.2292 1
Pd2 0.0938 0.5000 0.9539 1
Pd3 0.1372 0.0000 0.6833 1
Pd4 0.1813 0.5000 0.4198 1
```

The calculation puts the total DFT energy (no corrections) at -61.3 eV per formula unit.



# 3
VASP calculation (PBE) on a relaxed structure of Li2TaVPd.

```
data_Li2TaVPd
_chemical_formula_sum 'Li2 Ta1 V1 Pd1'
_cell_length_a 4.4141
_cell_length_b 4.4141
_cell_length_c 4.5611
_cell_angle_alpha 90.00
_cell_angle_beta 90.00
_cell_angle_gamma 90.00
_symmetry_space_group_name_H-M 'P 4/m m m'
_symmetry_Int_Tables_number 123
_symmetry_space_group_name_Hall '-P 4 2'
loop_
_atom_site_label
_atom_site_fract_x
_atom_site_fract_y
_atom_site_fract_z
_atom_site_occupancy
Li1 0.0000 0.5000 0.0000 1
Ta1 0.0000 0.0000 0.5000 1
V1 0.0000 0.0000 0.0000 1
Pd1 0.5000 0.5000 0.5000 1
```

The calculation puts the total DFT energy (no corrections) at -24.2 eV per formula unit.



# 4
VASP calculation (PBE) on a relaxed structure of Li2TbPd2.

```
data_Li2TbPd2
_chemical_formula_sum 'Li4 Tb2 Pd4'
_cell_length_a 5.3467
_cell_length_b 5.3455
_cell_length_c 6.9823
_cell_angle_alpha 90.00
_cell_angle_beta 112.40
_cell_angle_gamma 90.00
_symmetry_space_group_name_H-M 'C 1 2/m 1'
_symmetry_Int_Tables_number 12
_symmetry_space_group_name_Hall '-C 2y'
loop_
_atom_site_label
_atom_site_fract_x
_atom_site_fract_y
_atom_site_fract_z
_atom_site_occupancy
Li1 0.0000 0.2501 0.0000 1
Tb1 0.0000 0.0000 0.5000 1
Pd1 0.1057 0.5000 0.7115 1
```

The calculation puts the total DFT energy (no corrections) at -21.6 eV per formula unit. The energy above the most stable polymorph in this dataset is 0 meV/atom.



# 5
VASP calculation (PBE) on a relaxed structure of LiTb4Pd3.

```
data_LiTb4Pd3
_chemical_formula_sum 'Li1 Tb4 Pd3'
_cell_length_a 3.7650
_cell_length_b 4.6269
_cell_length_c 10.6528
_cell_angle_alpha 90.00
_cell_angle_beta 90.00
_cell_angle_gamma 90.00
_symmetry_space_group_name_H-M 'P m m 2'
_symmetry_Int_Tables_number 25
_symmetry_space_group_name_Hall 'P 2 -2'
loop_
_atom_site_label
_atom_site_fract_x
_atom_site_fract_y
_atom_site_fract_z
_atom_site_occupancy
Li1 0.0000 0.0000 0.0000 1
Tb1 0.0000 0.0000 0.3003 1
Tb2 0.0000 0.5000 0.5678 1
Tb3 0.5000 0.0000 0.7805 1
Tb4 0.5000 0.5000 0.0710 1
Pd1 0.0000 0.5000 0.8562 1
Pd2 0.5000 0.0000 0.5168 1
Pd3 0.5000 0.5000 0.3446 1
```

The calculation puts the total DFT energy (no corrections) at -41.2 eV per formula unit.



# 6
VASP calculation (PBE) on a relaxed structure of LiTbPd2.

```
data_LiTbPd2
_chemical_formula_sum 'Li1 Tb1 Pd2'
_cell_length_a 3.4700
_cell_length_b 3.4700
_cell_length_c 6.0030
_cell_angle_alpha 90.00
_cell_angle_beta 90.00
_cell_angle_gamma 90.00
_symmetry_space_group_name_H-M 'P 4/m m m'
_symmetry_Int_Tables_number 123
_symmetry_space_group_name_Hall '-P 4 2'
loop_
_atom_site_label
_atom_site_fract_x
_atom_site_fract_y
_atom_site_fract_z
_atom_site_occupancy
Li1 0.0000 0.0000 0.0000 1
Tb1 0.0000 0.0000 0.5000 1
Pd1 0.5000 0.5000 0.2313 1
```

The calculation puts the total DFT energy (no corrections) at -19.7 eV per formula unit.



# 7
VASP calculation (PBE) on a relaxed structure of Li2TbPd4.

```
data_Li2TbPd4
_chemical_formula_sum 'Li4 Tb2 Pd8'
_cell_length_a 6.5670
_cell_length_b 6.5670
_cell_length_c 5.7563
_cell_angle_alpha 90.00
_cell_angle_beta 90.00
_cell_angle_gamma 90.00
_symmetry_space_group_name_H-M 'I 4/m m m'
_symmetry_Int_Tables_number 139
_symmetry_space_group_name_Hall '-I 4 2'
loop_
_atom_site_label
_atom_site_fract_x
_atom_site_fract_y
_atom_site_fract_z
_atom_site_occupancy
Li1 0.0000 0.5000 0.0000 1
Tb1 0.0000 0.0000 0.0000 1
Pd1 0.2500 0.2500 0.2500 1
```

The calculation puts the total DFT energy (no corrections) at -31.8 eV per formula unit. The energy above the most stable polymorph in this dataset is 183 meV/atom.



# 8
VASP calculation (PBE) on a relaxed structure of LiTbPd5.

```
data_LiTbPd5
_chemical_formula_sum 'Li1 Tb1 Pd5'
_cell_length_a 4.1769
_cell_length_b 4.1769
_cell_length_c 6.7988
_cell_angle_alpha 90.00
_cell_angle_beta 90.00
_cell_angle_gamma 90.00
_symmetry_space_group_name_H-M 'P 4/m m m'
_symmetry_Int_Tables_number 123
_symmetry_space_group_name_Hall '-P 4 2'
loop_
_atom_site_label
_atom_site_fract_x
_atom_site_fract_y
_atom_site_fract_z
_atom_site_occupancy
Li1 0.0000 0.0000 0.0000 1
Tb1 0.5000 0.5000 0.5000 1
Pd1 0.0000 0.0000 0.5000 1
Pd2 0.0000 0.5000 0.2078 1
```

The calculation puts the total DFT energy (no corrections) at -35.7 eV per formula unit.



# 9
VASP calculation (PBE) on a relaxed structure of LiTbPd3.

```
data_LiTbPd3
_chemical_formula_sum 'Li4 Tb4 Pd12'
_cell_length_a 7.0284
_cell_length_b 5.7299
_cell_length_c 9.6081
_cell_angle_alpha 90.00
_cell_angle_beta 116.64
_cell_angle_gamma 90.00
_symmetry_space_group_name_H-M 'P 1 21/c 1'
_symmetry_Int_Tables_number 14
_symmetry_space_group_name_Hall '-P 2ybc'
loop_
_atom_site_label
_atom_site_fract_x
_atom_site_fract_y
_atom_site_fract_z
_atom_site_occupancy
Li1 0.1514 0.1458 0.0132 1
Tb1 0.3872 0.6387 0.8239 1
Pd1 0.0011 0.6159 0.2579 1
Pd2 0.1966 0.6123 0.0403 1
Pd3 0.3873 0.1381 0.8581 1
```

The calculation puts the total DFT energy (no corrections) at -25.4 eV per formula unit.



# 10
VASP calculation (PBE) on a relaxed structure of Li2Tb3Pd4.

```
data_Li2Tb3Pd4
_chemical_formula_sum 'Li8 Tb12 Pd16'
_cell_length_a 11.1143
_cell_length_b 10.0174
_cell_length_c 7.0215
_cell_angle_alpha 90.00
_cell_angle_beta 104.04
_cell_angle_gamma 90.00
_symmetry_space_group_name_H-M 'C 1 2/c 1'
_symmetry_Int_Tables_number 15
_symmetry_space_group_name_Hall '-C 2yc'
loop_
_atom_site_label
_atom_site_fract_x
_atom_site_fract_y
_atom_site_fract_z
_atom_site_occupancy
Li1 0.1606 0.1592 0.4444 1
Tb1 0.0000 0.0971 0.7500 1
Tb2 0.1420 0.3811 0.1066 1
Pd1 0.1033 0.3417 0.6605 1
Pd2 0.1751 0.0728 0.1163 1
```

The calculation puts the total DFT energy (no corrections) at -43.9 eV per formula unit.